1.
# ZrF | the Alexandria database | PBE | optimized geometry
data_ZrF
_chemical_formula_sum 'Zr8 F8'
_space_group_name_H-M_alt 'I 4/m'
_space_group_IT_number 87
_space_group_name_Hall '-I 4'
_cell_length_a 10.0941
_cell_length_b 10.0941
_cell_length_c 3.1709
_cell_angle_alpha 90.00
_cell_angle_beta 90.00
_cell_angle_gamma 90.00
loop_
_atom_site_label
_atom_site_fract_x
_atom_site_fract_y
_atom_site_fract_z
Zr1 0.1024 0.6566 0.0000
F1 0.1642 0.8088 0.5000
# **E above lowest polymorph**: 0.69 eV per formula unit
# **E_form (uncorrected)**: -369 kJ/mol of formula units
# **Total magnetic moment**: 2.47 Bohr magnetons per cell


2.
# TmPPt5 | the Alexandria database | PBE | optimized geometry
data_TmPPt5
_chemical_formula_sum 'Tm1 P1 Pt5'
_space_group_name_H-M_alt 'P 4/m m m'
_space_group_IT_number 123
_space_group_name_Hall '-P 4 2'
_cell_length_a 4.0328
_cell_length_b 4.0328
_cell_length_c 7.0785
_cell_angle_alpha 90.00
_cell_angle_beta 90.00
_cell_angle_gamma 90.00
loop_
_atom_site_label
_atom_site_fract_x
_atom_site_fract_y
_atom_site_fract_z
Tm1 0.0000 0.0000 0.0000
P1 0.5000 0.5000 0.5000
Pt1 0.0000 0.5000 0.2974
Pt2 0.5000 0.5000 0.0000
# **E_tot**: -6.592 eV/atom
# **Total magnetic moment**: 0.00 Bohr magnetons per cell


3.
# SmY7Th3 | the Alexandria database | PBE | optimized geometry
data_SmY7Th3
_chemical_formula_sum 'Sm1 Y7 Th3'
_space_group_name_H-M_alt 'P 3 m 1'
_space_group_IT_number 156
_cell_length_a 7.1205
_cell_length_b 7.1205
_cell_length_c 8.5801
_cell_angle_alpha 90.00
_cell_angle_beta 90.00
_cell_angle_gamma 120.00
loop_
_space_group_symop_operation_xyz
'x,y,z'
'-y,x-y,z'
'-x+y,-x,z'
'-y,-x,z'
'-x+y,y,z'
'x,x-y,z'
loop_
_atom_site_label
_atom_site_fract_x
_atom_site_fract_y
_atom_site_fract_z
Sm1 0.0000 0.0000 0.0000
Y1 0.0024 0.5012 0.0037
Y2 0.3314 0.1657 0.3447
Y3 0.3333 0.6667 0.3465
Th1 0.1672 0.3344 0.6736
# **E above lowest polymorph**: 0.00 eV per formula unit
# **Total magnetic moment**: 0.00 Bohr magnetons per cell


4.
# TlZnIn2Hg8 | the Alexandria database | PBE | optimized geometry
data_TlZnIn2Hg8
_chemical_formula_sum 'Tl1 Zn1 In2 Hg8'
_space_group_name_H-M_alt 'P -3 m 1'
_space_group_IT_number 164
_space_group_name_Hall '-P 3 2"'
_cell_length_a 6.6005
_cell_length_b 6.6005
_cell_length_c 8.7700
_cell_angle_alpha 90.00
_cell_angle_beta 90.00
_cell_angle_gamma 120.00
loop_
_atom_site_label
_atom_site_fract_x
_atom_site_fract_y
_atom_site_fract_z
Tl1 0.0000 0.0000 0.0000
Zn1 0.0000 0.0000 0.5000
In1 0.3333 0.6667 0.3707
Hg1 0.1769 0.3539 0.7129
Hg2 0.3333 0.6667 0.0222
# **E_tot**: -0.901 eV/atom
# **Total magnetic moment**: 0.00 Bohr magnetons per cell